No. 1
A relaxed structure of CeHoTlAg. Source: Alexandria via LeMat-Bulk, functional GGA-PBE.

Unit cell a=5.3357 b=5.3357 c=5.3357 alpha=60.00 beta=60.00 gamma=60.00
Closest atoms and distances in Å follow each position.
Element x y z (fractional)
1 Ag 0.2500 0.2500 0.2500  4 Ce 3.27, 4 Ho 3.27
2 Tl 0.7500 0.7500 0.7500  4 Ce 3.27, 4 Ho 3.27
3 Ho 0.0000 0.0000 0.0000  4 Ag 3.27, 4 Tl 3.27
4 Ce 0.5000 0.5000 0.5000  4 Tl 3.27, 4 Ag 3.27

Results
Space group: No. 216
Formation energy from the elements (eV per formula unit): -0.9

No. 2
A relaxed structure of PrThTe2Cl. Source: Alexandria via LeMat-Bulk, functional GGA-PBE.

Unit cell a=4.3999 b=4.3999 c=15.2163 alpha=90.00 beta=90.00 gamma=90.00
Closest atoms and distances in Å follow each position.
Element x y z (fractional)
1 Pr 0.5000 0.0000 0.6332  4 Cl 2.99, 4 Te 3.29
2 Pr 0.0000 0.5000 0.3668  4 Cl 2.99, 4 Te 3.29
3 Th 0.5000 0.0000 0.0825  6 Te 3.21-3.29
4 Th 0.0000 0.5000 0.9175  6 Te 3.21-3.29
5 Te 0.0000 0.5000 0.7036  1 Th 3.25, 4 Pr 3.29
6 Te 0.0000 0.5000 0.1337  5 Th 3.21-3.29, 1 Pr 3.55
7 Te 0.5000 0.0000 0.8663  5 Th 3.21-3.29, 1 Pr 3.55
8 Te 0.5000 0.0000 0.2964  1 Th 3.25, 4 Pr 3.29
9 Cl 0.0000 0.0000 0.5000  4 Pr 2.99, 4 Cl 3.11
10 Cl 0.5000 0.5000 0.5000  4 Pr 2.99, 4 Cl 3.11

Results
Space group: No. 129
ΔE_f (raw) (eV per atom): -1.522

No. 3
A relaxed structure of BePt2Rh. Source: Alexandria via LeMat-Bulk, functional GGA-PBE.

Unit cell a=3.8261 b=2.7700 c=5.4501 alpha=72.47 beta=90.00 gamma=90.00
Closest atoms and distances in Å follow each position.
Element x y z (fractional)
1 Be 0.5000 0.7500 0.7500  4 Pt 2.39, 2 Rh 2.66
2 Rh 0.5000 0.2500 0.2500  2 Be 2.66, 8 Pt 2.73-2.77, 2 Rh 2.77
3 Pt 0.0000 0.8963 0.9795  2 Be 2.39
4 Pt 0.0000 0.6037 0.5205  2 Be 2.39

Results
Space group: No. 10
Formation energy from the elements (eV per formula unit): -0.9

No. 4
A relaxed structure of ReSi2Rh. Source: Alexandria via LeMat-Bulk, functional GGA-PBE.

Unit cell a=2.7493 b=3.8268 c=5.2029 alpha=90.00 beta=90.00 gamma=90.00
Closest atoms and distances in Å follow each position.
Element x y z (fractional)
1 Re 0.0000 0.0000 0.4526  6 Si 2.52-2.68, 2 Re 2.75
2 Rh 0.5000 0.5000 0.8002  6 Si 2.49-2.71, 2 Rh 2.75
3 Si 0.0000 0.0000 0.9681  4 Rh 2.51, 2 Re 2.52-2.68, 2 Si 2.75
4 Si 0.5000 0.5000 0.2791  2 Rh 2.49-2.71, 4 Re 2.52, 2 Si 2.75

Results
Space group: No. 25
ΔE_f (raw) (eV per atom): -0.349

No. 5
A relaxed structure of Tb4Sm2MgSc. Source: Alexandria via LeMat-Bulk, functional GGA-PBE.

Unit cell a=4.9590 b=4.9666 c=11.0404 alpha=63.25 beta=90.00 gamma=90.00
Closest atoms and distances in Å follow each position.
Element x y z (fractional)
1 Tb 0.0000 0.7539 0.7466  4 Sm 3.47-3.52, 2 Sc 3.47-3.48, 4 Tb 3.51, 2 Mg 3.52
2 Tb 0.0000 0.2461 0.2533  4 Sm 3.47-3.52, 2 Sc 3.47-3.48, 4 Tb 3.51, 2 Mg 3.52
3 Tb 0.5000 0.7456 0.2538  4 Sm 3.47-3.52, 2 Sc 3.47, 4 Tb 3.51, 2 Mg 3.52-3.53
4 Tb 0.5000 0.2544 0.7462  4 Sm 3.47-3.52, 2 Sc 3.47, 4 Tb 3.51, 2 Mg 3.52-3.53
5 Sm 0.0000 0.0000 0.0000  4 Mg 3.51, 8 Tb 3.52
6 Sm 0.5000 0.0000 0.5000  8 Tb 3.47-3.48, 4 Sc 3.51
7 Mg 0.5000 0.5000 0.0000  4 Sm 3.51, 8 Tb 3.52-3.53
8 Sc 0.0000 0.5000 0.5000  8 Tb 3.47-3.48, 4 Sm 3.51

Results
Space group: No. 123
Formation energy from the elements (eV per formula unit): 0.2

No. 6
A relaxed structure of TcHgPb2. Source: Alexandria via LeMat-Bulk, functional GGA-PBE.

Unit cell a=3.2225 b=3.2226 c=9.3788 alpha=90.00 beta=90.00 gamma=90.00
Closest atoms and distances in Å follow each position.
Element x y z (fractional)
1 Hg 0.5000 0.5000 0.7073  4 Tc 2.91, 4 Hg 3.22
2 Pb 0.0000 0.0000 0.9745  4 Pb 3.22, 4 Hg 3.39
3 Pb 0.5000 0.5000 0.3046  4 Tc 3.01, 4 Pb 3.22
4 Tc 0.0000 0.0000 0.5136  4 Hg 2.91, 4 Pb 3.01, 4 Tc 3.22

Results
Space group: No. 99
Formation energy from the elements (eV per formula unit): 2.0

Number 1: magnetization 1.3 μB/f.u.. Number 2: magnetization 0.0 μB/f.u.. Number 3: magnetization 0.0 μB/f.u.. Number 4: magnetization 0.0 μB/f.u.. Number 5: magnetization 0.0 μB/f.u.. Number 6: magnetization 1.7 μB/f.u..